NiHIr2Rh | PBE-GGA | optimized geometry

```
5
Lattice="3.869 0.000 0.000 0.000 3.869 0.000 0.000 0.000 3.851" Properties=species:S:1:pos:R:3 pbc="T T T"
Ni 0.000 0.000 0.000
H 0.000 0.000 1.926
Ir 0.000 1.935 1.926
Ir 1.935 0.000 1.926
Rh 1.935 1.935 0.000
```

The calculation puts the energy above the most stable polymorph in this dataset at 0 meV per atom. The value obtained for the total energy is -6.69 eV per atom. As for the space group: P4/mmm, No. 123.

***

NiHIr2Ru | PBE-GGA | optimized geometry

```
5
Lattice="3.885 0.000 0.000 0.000 3.885 0.000 0.000 0.000 3.809" Properties=species:S:1:pos:R:3 pbc="T T T"
Ni 0.000 0.000 0.000
H 0.000 0.000 1.904
Ir 0.000 1.943 1.904
Ir 1.943 0.000 1.904
Ru 1.943 1.943 0.000
```

The value obtained for the total energy is -7.02 eV per atom. As for the space group: P4/mmm, No. 123.

***

NiHIr2S | PBE-GGA | optimized geometry

```
5
Lattice="4.646 0.000 0.000 0.000 4.646 0.000 0.000 0.000 4.000" Properties=species:S:1:pos:R:3 pbc="T T T"
Ni 0.000 0.000 0.000
H 2.323 2.323 2.000
Ir 0.000 2.323 0.000
Ir 2.323 0.000 0.000
S 0.000 0.000 2.000
```

The value obtained for the total energy is -4.33 eV per atom. As for the space group: P4/mmm, No. 123.

***

Sc2NiHIr | PBE-GGA | optimized geometry

```
5
Lattice="4.484 0.000 0.000 0.000 4.484 0.000 0.000 0.000 3.505" Properties=species:S:1:pos:R:3 pbc="T T T"
Sc 0.000 2.242 0.000
Sc 2.242 0.000 0.000
Ni 0.000 0.000 1.752
H 2.242 2.242 0.000
Ir 2.242 2.242 1.752
```

The calculation puts the energy above the most stable polymorph in this dataset at 128 meV per atom. The value obtained for the total energy is -6.72 eV per atom. As for the space group: P4/mmm, No. 123.

***

ScNi2HIr | PBE-GGA | optimized geometry

```
5
Lattice="3.838 0.000 0.000 0.000 3.838 0.000 0.000 0.000 3.875" Properties=species:S:1:pos:R:3 pbc="T T T"
Sc 0.000 0.000 0.000
Ni 0.000 1.919 1.938
Ni 1.919 0.000 1.938
H 1.919 1.919 1.938
Ir 1.919 1.919 0.000
```

The calculation puts the energy above the most stable polymorph in this dataset at 0 meV per atom. The value obtained for the total energy is -6.45 eV per atom. As for the space group: P4/mmm, No. 123.

***

ScNiH8Ir2 | PBE-GGA | optimized geometry

```
12
Lattice="4.211 -1.949 0.000 4.211 1.949 0.000 -2.125 0.000 5.605" Properties=species:S:1:pos:R:3 pbc="T T T"
Sc 0.000 0.000 0.000
Ni 3.148 0.000 2.802
H 2.747 0.960 1.468
H 0.954 0.000 1.941
H 0.984 0.000 5.384
H 3.549 0.960 4.137
H 2.747 -0.960 1.468
H 5.313 0.000 0.220
H 5.342 0.000 3.664
H 3.549 -0.960 4.137
Ir 0.657 0.000 3.787
Ir 5.640 0.000 1.818
```

The value obtained for the total energy is -4.80 eV per atom. As for the space group: C2/m, No. 12.

***

Sc2Ni6HIr | PBE-GGA | optimized geometry

```
10
Lattice="4.951 0.000 0.000 2.468 4.298 0.000 2.476 1.436 6.023" Properties=species:S:1:pos:R:3 pbc="T T T"
Sc 2.478 1.440 2.217
Sc 7.416 4.294 3.806
Ni 4.937 4.270 5.025
Ni 3.714 2.147 4.998
Ni 3.731 3.585 1.009
Ni 6.164 2.149 5.015
Ni 6.180 3.587 1.025
Ni 4.958 1.464 0.999
H 0.000 0.000 0.000
Ir 4.947 2.867 3.012
```

The value obtained for the total energy is -6.29 eV per atom. As for the space group: P-1, No. 2.

***

ScNi2HIr | PBE-GGA | optimized geometry

```
5
Lattice="3.728 0.000 0.000 0.000 3.728 0.000 0.000 0.000 4.086" Properties=species:S:1:pos:R:3 pbc="T T T"
Sc 0.000 0.000 0.000
Ni 0.000 1.864 2.043
Ni 1.864 0.000 2.043
H 0.000 0.000 2.043
Ir 1.864 1.864 0.000
```

The calculation puts the energy above the most stable polymorph in this dataset at 30 meV per atom. The value obtained for the total energy is -6.42 eV per atom. As for the space group: P4/mmm, No. 123.

***

Sc2NiHIr | PBE-GGA | optimized geometry

```
5
Lattice="4.543 0.000 0.000 0.000 4.543 0.000 0.000 0.000 3.299" Properties=species:S:1:pos:R:3 pbc="T T T"
Sc 0.000 2.271 0.000
Sc 2.271 0.000 0.000
Ni 0.000 0.000 1.650
H 0.000 0.000 0.000
Ir 2.271 2.271 1.650
```

The calculation puts the energy above the most stable polymorph in this dataset at 0 meV per atom. The value obtained for the total energy is -6.85 eV per atom. As for the space group: P4/mmm, No. 123.

***

SiNiHIr2 | PBE-GGA | optimized geometry

```
5
Lattice="3.933 0.000 0.000 0.000 3.933 0.000 0.000 0.000 3.537" Properties=species:S:1:pos:R:3 pbc="T T T"
Si 0.000 0.000 0.000
Ni 1.967 1.967 0.000
H 1.967 1.967 1.769
Ir 0.000 1.967 1.769
Ir 1.967 0.000 1.769
```

The value obtained for the total energy is -6.61 eV per atom. As for the space group: P4/mmm, No. 123.

***

SiNi2HIr | PBE-GGA | optimized geometry

```
5
Lattice="3.630 0.000 0.000 0.000 3.630 0.000 0.000 0.000 3.830" Properties=species:S:1:pos:R:3 pbc="T T T"
Si 0.000 0.000 0.000
Ni 0.000 1.815 1.915
Ni 1.815 0.000 1.915
H 1.815 1.815 1.915
Ir 1.815 1.815 0.000
```

The value obtained for the total energy is -6.11 eV per atom. As for the space group: P4/mmm, No. 123.

***

SmNiH8Ir2 | PBE-GGA | optimized geometry

```
12
Lattice="2.320 1.339 5.481 -2.320 1.339 5.481 0.000 -2.679 5.481" Properties=species:S:1:pos:R:3 pbc="T T T"
Sm 0.000 0.000 0.000
Ni 0.000 0.000 8.222
H -1.330 0.005 7.200
H -0.669 -1.150 9.243
H 0.000 0.000 5.186
H 0.661 -1.154 7.200
H -0.661 1.154 9.243
H 0.000 0.000 11.257
H 0.669 1.150 7.200
H 1.330 -0.005 9.243
Ir 0.000 0.000 3.559
Ir 0.000 0.000 12.885
```

The value obtained for the total energy is -4.75 eV per atom. As for the space group: R-3, No. 148.

***

no.,magnetization (Bohr magnetons per cell),V (Å³/f.u.)
1,1.73,57.7
2,2.15,57.5
3,2.32,86.3
4,0.00,70.5
5,0.03,57.1
6,0.00,92.0
7,0.00,128.2
8,0.00,56.8
9,0.00,68.1
10,0.00,54.7
11,0.00,50.5
12,0.00,102.2